Record 1
RbAgF2 GGA-PBE optimized geometry; total DFT energy (no corrections) = -3.638 eV/atom; SG = P4/nmm (129); energy relative to the lowest polymorph listed for this composition = 0.00 kcal/mol of atoms; V = 19.1 Å³ per atom
1.0
4.208 0.000 0.000
0.000 4.208 0.000
0.000 0.000 8.608
Rb Ag F
2 2 4
Direct
0.250 0.250 0.182 Rb
0.750 0.750 0.818 Rb
0.250 0.250 0.621 Ag
0.750 0.750 0.379 Ag
0.250 0.250 0.879 F
0.250 0.750 0.500 F
0.750 0.250 0.500 F
0.750 0.750 0.121 F


Record 2
RbAgF2 GGA-PBE optimized geometry; total DFT energy (no corrections) = -3.583 eV/atom; SG = P4/mmm (123); energy relative to the lowest polymorph listed for this composition = 1.27 kcal/mol of atoms; V = 17.1 Å³ per atom
1.0
3.654 0.000 0.000
0.000 3.654 0.000
0.000 0.000 5.132
Rb Ag F
1 1 2
Direct
0.000 0.000 0.000 Rb
0.500 0.500 0.500 Ag
0.000 0.000 0.500 F
0.500 0.500 0.000 F


Record 3
RbAgF3 GGA-PBE optimized geometry; total DFT energy (no corrections) = -3.733 eV/atom; SG = Cmmm (65); V = 15.9 Å³ per atom
1.0
3.031 -3.057 0.000
3.031 3.057 0.000
0.000 0.000 4.303
Rb Ag F
1 1 3
Direct
0.000 0.000 0.000 Rb
0.500 0.500 0.500 Ag
0.000 0.500 0.500 F
0.500 0.000 0.500 F
0.500 0.500 0.000 F


Record 4
Rb2TlAgF6 GGA-PBE optimized geometry; total DFT energy (no corrections) = -3.909 eV/atom; SG = C2/m (12); energy relative to the lowest polymorph listed for this composition = 0.05 kcal/mol of atoms; V = 17.3 Å³ per atom
1.0
5.407 -3.079 0.000
5.407 3.079 0.000
-3.733 0.000 5.203
Rb Tl Ag F
2 1 1 6
Direct
0.249 0.249 0.254 Rb
0.751 0.751 0.746 Rb
0.000 0.000 0.500 Tl
0.500 0.500 0.000 Ag
0.201 0.710 0.695 F
0.241 0.241 0.821 F
0.290 0.799 0.305 F
0.710 0.201 0.695 F
0.759 0.759 0.179 F
0.799 0.290 0.305 F


Record 5
Rb2TlAgF6 GGA-PBE optimized geometry; total DFT energy (no corrections) = -3.874 eV/atom; SG = R3 (146); energy relative to the lowest polymorph listed for this composition = 0.84 kcal/mol of atoms; V = 16.5 Å³ per atom
1.0
3.154 1.821 4.800
-3.154 1.821 4.800
0.000 -3.642 4.800
Rb Tl Ag F
2 1 1 6
Direct
0.000 0.000 0.000 Rb
0.494 0.494 0.494 Rb
0.747 0.747 0.747 Tl
0.247 0.247 0.247 Ag
0.064 0.512 0.917 F
0.431 0.982 0.578 F
0.512 0.917 0.064 F
0.578 0.431 0.982 F
0.917 0.064 0.512 F
0.982 0.578 0.431 F


Record 6
Rb2TlAgF6 GGA-PBE optimized geometry; total DFT energy (no corrections) = -3.882 eV/atom; SG = R-3 (148); energy relative to the lowest polymorph listed for this composition = 0.66 kcal/mol of atoms; V = 17.2 Å³ per atom
1.0
3.115 1.799 5.110
-3.115 1.799 5.110
0.000 -3.597 5.110
Rb Tl Ag F
2 1 1 6
Direct
0.250 0.250 0.250 Rb
0.750 0.750 0.750 Rb
0.000 0.000 0.000 Tl
0.500 0.500 0.500 Ag
0.244 0.247 0.754 F
0.246 0.756 0.753 F
0.247 0.754 0.244 F
0.753 0.246 0.756 F
0.754 0.244 0.247 F
0.756 0.753 0.246 F


Record 7
Rb2TlAgF6 GGA-PBE optimized geometry; total DFT energy (no corrections) = -3.911 eV/atom; SG = Fm-3m (225); energy relative to the lowest polymorph listed for this composition = 0.00 kcal/mol of atoms; V = 17.9 Å³ per atom
1.0
0.000 4.475 4.475
4.475 0.000 4.475
4.475 4.475 0.000
Rb Tl Ag F
2 1 1 6
Direct
0.250 0.250 0.250 Rb
0.750 0.750 0.750 Rb
0.000 0.000 0.000 Tl
0.500 0.500 0.500 Ag
0.244 0.244 0.756 F
0.244 0.756 0.244 F
0.244 0.756 0.756 F
0.756 0.244 0.244 F
0.756 0.244 0.756 F
0.756 0.756 0.244 F


Record 8
Rb2TmAgF6 GGA-PBE optimized geometry; total DFT energy (no corrections) = -5.013 eV/atom; SG = I4/m (87); V = 17.2 Å³ per atom
1.0
-3.079 3.079 4.547
3.079 -3.079 4.547
3.079 3.079 -4.547
Rb Tm Ag F
2 1 1 6
Direct
0.250 0.750 0.500 Rb
0.750 0.250 0.500 Rb
0.000 0.000 0.000 Tm
0.500 0.500 0.000 Ag
0.171 0.298 0.469 F
0.232 0.232 0.000 F
0.298 0.829 0.126 F
0.702 0.171 0.874 F
0.768 0.768 0.000 F
0.829 0.702 0.531 F


Record 9
Rb2YAgF6 GGA-PBE optimized geometry; total DFT energy (no corrections) = -5.175 eV/atom; SG = P2_1/c (14); V = 17.7 Å³ per atom
1.0
6.247 0.000 0.000
0.000 6.391 0.000
-6.159 0.000 8.863
Rb Y Ag F
4 2 2 12
Direct
0.237 0.047 0.250 Rb
0.237 0.453 0.750 Rb
0.763 0.547 0.250 Rb
0.763 0.953 0.750 Rb
0.500 0.000 0.000 Y
0.500 0.500 0.500 Y
0.000 0.000 0.500 Ag
0.000 0.500 0.000 Ag
0.179 0.190 0.961 F
0.179 0.310 0.461 F
0.270 0.721 0.956 F
0.270 0.779 0.456 F
0.344 0.023 0.762 F
0.344 0.477 0.262 F
0.656 0.523 0.738 F
0.656 0.977 0.238 F
0.730 0.221 0.544 F
0.730 0.279 0.044 F
0.821 0.690 0.539 F
0.821 0.810 0.039 F


Record 10
AgSF6 GGA-PBE optimized geometry; total DFT energy (no corrections) = -3.510 eV/atom; SG = F-43m (216); V = 12.2 Å³ per atom
1.0
0.000 3.653 3.653
3.653 0.000 3.653
3.653 3.653 0.000
Ag S F
1 1 6
Direct
0.000 0.000 0.000 Ag
0.250 0.250 0.250 S
0.013 0.013 0.487 F
0.013 0.487 0.013 F
0.013 0.487 0.487 F
0.487 0.013 0.013 F
0.487 0.013 0.487 F
0.487 0.487 0.013 F


Record 11
AgSbS16F6 GGA-PBE optimized geometry; total DFT energy (no corrections) = -4.188 eV/atom; SG = C2/c (15); V = 21.3 Å³ per atom
1.0
8.650 -3.887 0.000
8.650 3.887 0.000
-3.330 0.000 15.227
Ag Sb S F
2 2 32 12
Direct
0.162 0.838 0.750 Ag
0.838 0.162 0.250 Ag
0.500 0.500 0.000 Sb
0.500 0.500 0.500 Sb
0.005 0.291 0.442 S
0.034 0.630 0.838 S
0.072 0.095 0.142 S
0.081 0.661 0.290 S
0.083 0.287 0.924 S
0.095 0.072 0.642 S
0.108 0.479 0.622 S
0.115 0.689 0.171 S
0.224 0.504 0.744 S
0.287 0.083 0.424 S
0.291 0.005 0.942 S
0.311 0.885 0.329 S
0.339 0.919 0.210 S
0.370 0.966 0.662 S
0.479 0.108 0.122 S
0.496 0.776 0.756 S
0.504 0.224 0.244 S
0.521 0.892 0.878 S
0.630 0.034 0.338 S
0.661 0.081 0.790 S
0.689 0.115 0.671 S
0.709 0.995 0.058 S
0.713 0.917 0.576 S
0.776 0.496 0.256 S
0.885 0.311 0.829 S
0.892 0.521 0.378 S
0.905 0.928 0.358 S
0.917 0.713 0.076 S
0.919 0.339 0.710 S
0.928 0.905 0.858 S
0.966 0.370 0.162 S
0.995 0.709 0.558 S
0.243 0.721 0.020 F
0.279 0.757 0.480 F
0.353 0.424 0.462 F
0.424 0.353 0.962 F
0.437 0.548 0.618 F
0.452 0.563 0.882 F
0.548 0.437 0.118 F
0.563 0.452 0.382 F
0.576 0.647 0.038 F
0.647 0.576 0.538 F
0.721 0.243 0.520 F
0.757 0.279 0.980 F


Record 12
Sr2Ag2SeSF2 GGA-PBE optimized geometry; total DFT energy (no corrections) = -4.584 eV/atom; SG = P4mm (99); V = 19.4 Å³ per atom
1.0
4.123 0.000 0.000
0.000 4.123 0.000
0.000 0.000 9.139
Sr Ag Se S F
2 2 1 1 2
Direct
0.000 0.000 0.000 Sr
0.500 0.500 0.307 Sr
0.000 0.500 0.640 Ag
0.500 0.000 0.640 Ag
0.500 0.500 0.843 Se
0.000 0.000 0.453 S
0.000 0.500 0.153 F
0.500 0.000 0.153 F